# SrBPd3 meta-GGA SCAN single point on PBEsol structure
data_SrBPd3
_cell_length_a 4.318
_cell_length_b 4.318
_cell_length_c 4.318
_cell_angle_alpha 90.00
_cell_angle_beta 90.00
_cell_angle_gamma 90.00
_symmetry_space_group_name_H-M 'P 1'
_symmetry_Int_Tables_number 1
loop_
_symmetry_equiv_pos_as_xyz
'x,y,z'
loop_
_atom_site_label
_atom_site_type_symbol
_atom_site_fract_x
_atom_site_fract_y
_atom_site_fract_z
Pd1 Pd 0.500 0.000 0.000
Pd2 Pd 0.000 0.500 0.000
Pd3 Pd 0.000 0.000 0.500
B1 B 0.000 0.000 0.000
Sr1 Sr 0.500 0.500 0.500
# formation energy = -0.4882 eV/atom
# total DFT energy (no corrections) = -26.09 eV/atom